Record 1
# Li2CaMn, single point on PBEsol structure, DFT SCAN
# Formation energy, meV/atom: 148
# Excess energy over the best structure of this formula in the dataset, meV per atom: 0
data_Li2CaMn
_cell_length_a 3.5405
_cell_length_b 3.5405
_cell_length_c 6.9069
_cell_angle_alpha 90.00
_cell_angle_beta 90.00
_cell_angle_gamma 90.00
_symmetry_space_group_name_H-M 'P 4/m m m'
_symmetry_Int_Tables_number 123
_symmetry_space_group_name_Hall '-P 4 2'
loop_
_atom_site_label
_atom_site_type_symbol
_atom_site_fract_x
_atom_site_fract_y
_atom_site_fract_z
Li1 Li 0.0000 0.0000 0.1924
Ca1 Ca 0.5000 0.5000 0.5000
Mn1 Mn 0.5000 0.5000 0.0000

Record 2
# HgAu5, single point on PBEsol structure, DFT SCAN
# Formation energy, meV/atom: 48
# Excess energy over the best structure of this formula in the dataset, meV per atom: 0
data_HgAu5
_cell_length_a 10.8091
_cell_length_b 2.9607
_cell_length_c 6.8484
_cell_angle_alpha 90.00
_cell_angle_beta 106.73
_cell_angle_gamma 90.00
_symmetry_space_group_name_H-M 'C 1 m 1'
_symmetry_Int_Tables_number 8
loop_
_symmetry_equiv_pos_as_xyz
'x,y,z'
'x,-y,z'
'x+1/2,y+1/2,z'
'x+1/2,-y+1/2,z'
loop_
_atom_site_label
_atom_site_type_symbol
_atom_site_fract_x
_atom_site_fract_y
_atom_site_fract_z
Hg1 Hg 0.0000 0.0000 0.0000
Au1 Au 0.1185 0.5000 0.7272
Au2 Au 0.1694 0.5000 0.3378
Au3 Au 0.2803 0.0000 0.0657
Au4 Au 0.3345 0.0000 0.6643
Au5 Au 0.4498 0.5000 0.3990